Computed, not measured: crystalline Na3Tl2CoO6 at its relaxed geometry at the PBE with a Hubbard U level of DFT.

abc: 5.6748 5.6748 5.7796
angles: 99.55 99.55 119.94
Last column: nearest neighbours and their distance in Å.
Fractional positions:
O (0.6419, 0.9309, 0.7890)  1 Co 2.00
O (0.3581, 0.0691, 0.2110)  1 Co 2.00
O (0.2204, 0.2204, 0.7982)  1 Co 1.97
O (0.0691, 0.3581, 0.2110)  1 Co 2.00
O (0.9309, 0.6419, 0.7890)  1 Co 2.00
O (0.7796, 0.7796, 0.2018)  1 Co 1.97
Na (0.1591, 0.8409, 0.5000)  4 O 2.36-2.37
Na (0.5000, 0.5000, 0.5000)  4 O 2.38
Na (0.8409, 0.1591, 0.5000)  4 O 2.36-2.37
Tl (0.6677, 0.3323, 0.0000)  6 O 2.32-2.35
Tl (0.3323, 0.6677, 0.0000)  6 O 2.32-2.35
Co (0.0000, 0.0000, 0.0000)  6 O 1.97-2.00

## Properties
Calculated volume (Å³ per cell): 152.2
VASP energy (eV per atom): -4.72